SiSb5 PBE-GGA optimized geometry; calculated density = 6.89 g/cm³; spin magnetization = 0.00 Bohr magnetons per cell; formation energy without anion corrections = 0.3350 eV/atom
1.0
3.7720 0.0000 0.0000
0.0000 3.7720 0.0000
0.0000 0.0000 10.7962
Sb Si
5 1
direct
0.0000 0.0000 0.5000
0.5000 0.5000 0.6626
0.5000 0.5000 0.3374
0.0000 0.0000 0.8604
0.0000 0.0000 0.1396
0.5000 0.5000 0.0000